1.
A geometry-optimized Rb2CoHCl structure. Source: Alexandria via LeMat-Bulk, functional GGA-PBE.

```
Rb2CoHCl
1.0
6.076 0.000 0.000
0.000 6.076 0.000
0.000 0.000 3.403
Rb Co H Cl
2 1 1 1
direct
0.000 0.500 0.000
0.500 0.000 0.000
0.000 0.000 0.000
0.000 0.000 0.500
0.500 0.500 0.500
```

Computed properties:
V = 25.13 Å³/atom
Total magnetic moment = 0.201 μB/atom
ρ = 3.5 g/cm3
E_tot = -3.0327 eV/atom

2.
A geometry-optimized Co2ReHCl structure. Source: Alexandria via LeMat-Bulk, functional GGA-PBE.

```
Co2ReHCl
1.0
4.688 0.000 0.000
0.000 4.688 0.000
0.000 0.000 3.381
Co Re H Cl
2 1 1 1
direct
0.000 0.500 0.000
0.500 0.000 0.000
0.000 0.000 0.000
0.000 0.000 0.500
0.500 0.500 0.500
```

Computed properties:
V = 14.86 Å³/atom
Total magnetic moment = 0.677 μB/atom
ρ = 7.6 g/cm3
E_tot = -5.1838 eV/atom